Record 1
Here is crystalline CuAgPd2 at its relaxed geometry from the Alexandria database. Energies are from PBE.

a = 4.4295 Å, b = 4.4295 Å, c = 4.4295 Å
α = 60.00°, β = 60.00°, γ = 60.00°
Element x y z (fractional)
Cu 0.5000 0.5000 0.5000
Pd 0.2500 0.2500 0.2500
Pd 0.7500 0.7500 0.7500
Ag 0.0000 0.0000 0.0000

formation energy = 0.0016 eV/atom
energy relative to the lowest polymorph listed for this composition = 0.067 eV/atom


Record 2
Here is crystalline CuAg2Pd6 at its relaxed geometry from the Alexandria database. Energies are from PBE.

a = 3.9386 Å, b = 4.8789 Å, c = 8.4708 Å
α = 72.56°, β = 90.00°, γ = 113.81°
Element x y z (fractional)
Cu 0.0000 0.0000 0.5000
Ag 0.6676 0.3353 0.9434
Ag 0.3324 0.6647 0.0566
Pd 0.0075 0.0151 0.8200
Pd 0.6554 0.3108 0.2888
Pd 0.3446 0.6892 0.7112
Pd 0.6731 0.3462 0.6060
Pd 0.3269 0.6538 0.3940
Pd 0.9925 0.9849 0.1800

formation energy = -0.0306 eV/atom
energy relative to the lowest polymorph listed for this composition = 0.000 eV/atom


Record 3
Here is crystalline CuAg4Pd5 at its relaxed geometry from the Alexandria database. Energies are from PBE.

a = 2.8332 Å, b = 2.8332 Å, c = 19.9882 Å
α = 90.00°, β = 90.00°, γ = 90.00°
Element x y z (fractional)
Cu 0.0000 0.0000 0.0000
Ag 0.0000 0.0000 0.1899
Ag 0.0000 0.0000 0.3966
Ag 0.0000 0.0000 0.6034
Ag 0.0000 0.0000 0.8101
Pd 0.5000 0.5000 0.0861
Pd 0.5000 0.5000 0.2931
Pd 0.5000 0.5000 0.5000
Pd 0.5000 0.5000 0.7069
Pd 0.5000 0.5000 0.9139

formation energy = -0.0427 eV/atom


Record 4
Here is crystalline CuAg2Pd8 at its relaxed geometry from the Alexandria database. Energies are from PBE.

a = 3.9167 Å, b = 6.3254 Å, c = 7.4478 Å
α = 104.96°, β = 105.24°, γ = 90.00°
Element x y z (fractional)
Pd 0.5870 0.4433 0.1740
Pd 0.3213 0.0905 0.6425
Pd 0.1311 0.1724 0.2621
Pd 0.0447 0.7298 0.0895
Pd 0.8689 0.8276 0.7379
Pd 0.6787 0.9095 0.3575
Pd 0.4130 0.5567 0.8260
Pd 0.9553 0.2702 0.9105
Ag 0.2267 0.6371 0.4533
Ag 0.7733 0.3629 0.5467
Cu 0.5000 0.0000 0.0000

formation energy = -0.0195 eV/atom
energy relative to the lowest polymorph listed for this composition = 0.000 eV/atom


Record 5
Here is crystalline CuAg3Pd6 at its relaxed geometry from the Alexandria database. Energies are from PBE.

a = 4.6395 Å, b = 7.4424 Å, c = 10.1371 Å
α = 114.72°, β = 90.00°, γ = 90.00°
Element x y z (fractional)
Cu 0.2500 0.9669 0.5644
Cu 0.7500 0.0331 0.4356
Ag 0.2500 0.5635 0.3697
Ag 0.7500 0.4365 0.6303
Ag 0.2500 0.3651 0.7647
Ag 0.7500 0.6349 0.2353
Ag 0.2500 0.7711 0.9694
Ag 0.7500 0.2289 0.0306
Pd 0.2500 0.4648 0.0662
Pd 0.7500 0.5352 0.9338
Pd 0.2500 0.1663 0.1678
Pd 0.7500 0.8337 0.8322
Pd 0.2500 0.6777 0.6651
Pd 0.7500 0.3223 0.3349
Pd 0.2500 0.2547 0.4671
Pd 0.7500 0.7453 0.5329
Pd 0.2500 0.8715 0.2765
Pd 0.7500 0.1285 0.7235
Pd 0.2500 0.0649 0.8589
Pd 0.7500 0.9351 0.1411

formation energy = -0.0062 eV/atom
energy relative to the lowest polymorph listed for this composition = 0.000 eV/atom


Record 6
Here is crystalline CuAg5Pd6 at its relaxed geometry from the Alexandria database. Energies are from PBE.

a = 4.0359 Å, b = 6.3550 Å, c = 7.9931 Å
α = 90.00°, β = 90.00°, γ = 71.49°
Element x y z (fractional)
Pd 0.8360 0.3279 0.2446
Pd 0.8361 0.3279 0.7554
Pd 0.5000 0.0000 0.7578
Pd 0.5000 0.0000 0.2422
Pd 0.1639 0.6721 0.2446
Pd 0.1640 0.6721 0.7554
Ag 0.6670 0.6660 0.5000
Ag 0.3360 0.3280 0.0000
Ag 0.0000 0.0000 0.5000
Ag 0.6640 0.6720 0.0000
Ag 0.3330 0.3340 0.5000
Cu 0.0000 0.0000 0.0000

formation energy = -0.0143 eV/atom


formation energy of number 4 (CuAg2Pd8)? -0.0195 eV/atom